*w*
The following is a DFT calculation (PBE) of an optimized crystal structure of Rb2ZrBe.

**Density**: 2.752 Mg/m³
**D(E_F)**: 35.6 states/eV/cell
**V**: 163.6 Å³/f.u.
**SG**: No. 225

abc: 6.139 6.139 6.139
angles: 60.00 60.00 60.00
Last column: magnetic moment on the atom in μB.
Element x y z (fractional)
Rb (0.750, 0.750, 0.750)  0.05
Rb (0.250, 0.250, 0.250)  0.05
Be (0.000, 0.000, 0.000)  0.03
Zr (0.500, 0.500, 0.500)  1.78


*x*
The following is a DFT calculation (PBE) of an optimized crystal structure of Rb2ZrBe.

**Density**: 2.117 Mg/m³
**D(E_F)**: 6.1 states/eV/cell
**V**: 212.7 Å³/f.u.
**SG**: No. 122

abc: 13.376 13.376 9.752
angles: 46.70 46.70 90.00
Last column: magnetic moment on the atom in μB.
Element x y z (fractional)
Zr (0.000, 0.000, 0.000)  0.67
Zr (0.750, 0.250, 0.500)  0.66
Be (0.500, 0.500, 0.000)  0.01
Be (0.250, 0.750, 0.500)  0.01
Rb (0.298, 0.625, 0.250)  0.01
Rb (0.452, 0.125, 0.250)  0.01
Rb (0.375, 0.548, 0.750)  0.01
Rb (0.875, 0.702, 0.750)  0.01


Energies relative to the most stable structure are *w* 427; *x* 0, reported in meV/atom.


*w*
The following is a DFT calculation (PBE) of an optimized crystal structure of BeRe.

**Density**: 13.020 Mg/m³
**D(E_F)**: 1.4 states/eV/cell
**V**: 24.9 Å³/f.u.
**SG**: No. 187

abc: 2.691 2.691 3.969
angles: 90.00 90.00 120.00
Element x y z (fractional)
Re (0.333, 0.667, 0.500)
Be (0.000, 0.000, 0.000)


*x*
The following is a DFT calculation (PBE) of an optimized crystal structure of BeRe.

**Density**: 10.700 Mg/m³
**D(E_F)**: 2.7 states/eV/cell
**V**: 30.3 Å³/f.u.
**SG**: No. 216

abc: 3.499 3.499 3.499
angles: 60.00 60.00 60.00
Element x y z (fractional)
Be (0.000, 0.000, 0.000)
Re (0.750, 0.750, 0.750)


Energies relative to the most stable structure are *w* 0; *x* 1842, reported in meV/atom.


*w*
The following is a DFT calculation (PBE) of an optimized crystal structure of Be2Re.

**Density**: 10.906 Mg/m³
**D(E_F)**: 1.1 states/eV/cell
**V**: 31.1 Å³/f.u.
**SG**: No. 141

abc: 11.345 11.345 11.345
angles: 163.03 163.03 24.09
Element x y z (fractional)
Be (0.251, 0.251, 0.000)
Be (0.410, 0.410, 0.000)
Be (0.840, 0.340, 0.500)
Be (0.749, 0.749, 0.000)
Be (0.501, 0.001, 0.500)
Be (0.999, 0.499, 0.500)
Be (0.590, 0.590, 0.000)
Be (0.660, 0.160, 0.500)
Re (0.927, 0.927, 0.000)
Re (0.073, 0.073, 0.000)
Re (0.177, 0.677, 0.500)
Re (0.323, 0.823, 0.500)


*x*
The following is a DFT calculation (PBE) of an optimized crystal structure of Be2Re.

**Density**: 9.953 Mg/m³
**D(E_F)**: 2.5 states/eV/cell
**V**: 34.1 Å³/f.u.
**SG**: No. 189

abc: 6.933 6.933 2.456
angles: 90.00 90.00 120.00
Element x y z (fractional)
Be (0.631, 0.000, 0.500)
Be (0.693, 0.693, 0.000)
Be (0.307, 0.000, 0.000)
Be (0.000, 0.631, 0.500)
Be (0.369, 0.369, 0.500)
Be (0.000, 0.307, 0.000)
Re (0.667, 0.333, 0.000)
Re (0.000, 0.000, 0.500)
Re (0.333, 0.667, 0.000)


*y*
The following is a DFT calculation (PBE) of an optimized crystal structure of Be2Re.

**Density**: 10.202 Mg/m³
**D(E_F)**: 1.9 states/eV/cell
**V**: 33.2 Å³/f.u.
**SG**: No. 8

abc: 4.668 4.668 5.836
angles: 77.86 77.86 32.39
Element x y z (fractional)
Re (0.956, 0.956, 0.590)
Re (0.270, 0.270, 0.956)
Be (0.327, 0.327, 0.334)
Be (0.993, 0.993, 0.029)
Be (0.673, 0.673, 0.653)
Be (0.614, 0.614, 0.272)


Energies relative to the most stable structure are *w* 0; *x* 461; *y* 241, reported in meV/atom.


*w*
The following is a DFT calculation (PBE) of an optimized crystal structure of Be2Re.

**Density**: 10.248 Mg/m³
**D(E_F)**: 0.9 states/eV/cell
**V**: 33.1 Å³/f.u.
**SG**: No. 71

abc: 4.478 4.478 4.478
angles: 147.87 135.75 55.73
Element x y z (fractional)
Be (0.717, 0.217, 0.500)
Be (0.283, 0.783, 0.500)
Re (0.000, 0.000, 0.000)


*x*
The following is a DFT calculation (PBE) of an optimized crystal structure of Be2Re.

**Density**: 11.026 Mg/m³
**D(E_F)**: 2.5 states/eV/cell
**V**: 30.8 Å³/f.u.
**SG**: No. 62

abc: 3.366 4.630 7.894
angles: 90.00 90.00 90.00
Element x y z (fractional)
Be (0.250, 0.120, 0.463)
Be (0.750, 0.762, 0.177)
Be (0.750, 0.380, 0.963)
Be (0.250, 0.738, 0.677)
Be (0.750, 0.880, 0.537)
Be (0.750, 0.262, 0.323)
Be (0.250, 0.620, 0.037)
Be (0.250, 0.238, 0.823)
Re (0.250, 0.117, 0.128)
Re (0.250, 0.617, 0.372)
Re (0.750, 0.383, 0.628)
Re (0.750, 0.883, 0.872)


Energies relative to the most stable structure are *w* 357; *x* 0, reported in meV/atom.


*w*
The following is a DFT calculation (PBE) of an optimized crystal structure of Be2Re.

**Density**: 11.422 Mg/m³
**D(E_F)**: 2.8 states/eV/cell
**V**: 29.7 Å³/f.u.
**SG**: No. 227

abc: 4.379 4.379 4.379
angles: 60.00 60.00 60.00
Element x y z (fractional)
Be (0.000, 0.500, 0.500)
Be (0.000, 0.000, 0.500)
Be (0.000, 0.500, 0.000)
Be (0.500, 0.500, 0.500)
Re (0.375, 0.875, 0.875)
Re (0.625, 0.125, 0.125)


*x*
The following is a DFT calculation (PBE) of an optimized crystal structure of Be2Re.

**Density**: 11.423 Mg/m³
**D(E_F)**: 4.3 states/eV/cell
**V**: 29.7 Å³/f.u.
**SG**: No. 194

abc: 4.375 4.375 7.164
angles: 90.00 90.00 120.00
Element x y z (fractional)
Be (0.663, 0.832, 0.750)
Be (0.832, 0.168, 0.250)
Be (0.168, 0.832, 0.750)
Be (0.832, 0.663, 0.250)
Be (0.168, 0.337, 0.750)
Be (0.000, 0.000, 0.000)
Be (0.000, 0.000, 0.500)
Be (0.337, 0.168, 0.250)
Re (0.667, 0.333, 0.564)
Re (0.333, 0.667, 0.436)
Re (0.333, 0.667, 0.064)
Re (0.667, 0.333, 0.936)


Energies relative to the most stable structure are *w* 10; *x* 0, reported in meV/atom.


*w*
The following is a DFT calculation (PBE) of an optimized crystal structure of Be5Re.

**Density**: 7.330 Mg/m³
**D(E_F)**: 2.3 states/eV/cell
**V**: 52.4 Å³/f.u.
**SG**: No. 191

abc: 4.251 4.251 3.348
angles: 90.00 90.00 120.00
Element x y z (fractional)
Be (0.667, 0.667, 0.500)
Be (0.833, 0.000, 0.000)
Be (0.834, 0.500, 0.000)
Be (0.000, 0.333, 0.500)
Be (0.333, 0.500, 0.000)
Re (0.333, 0.000, 0.500)


*x*
The following is a DFT calculation (PBE) of an optimized crystal structure of Be5Re.

**Density**: 6.768 Mg/m³
**D(E_F)**: 1.5 states/eV/cell
**V**: 56.7 Å³/f.u.
**SG**: No. 8

abc: 4.504 4.504 5.444
angles: 72.02 72.02 32.86
Element x y z (fractional)
Be (0.379, 0.379, 0.292)
Be (0.362, 0.362, 0.749)
Be (0.695, 0.695, 0.609)
Be (0.026, 0.026, 0.475)
Be (0.011, 0.011, 0.929)
Re (0.694, 0.694, 0.112)


Energies relative to the most stable structure are *w* 0; *x* 149, reported in meV/atom.


*w*
The following is a DFT calculation (PBE) of an optimized crystal structure of Be3Re5.

**Density**: 16.177 Mg/m³
**D(E_F)**: 9.9 states/eV/cell
**V**: 98.3 Å³/f.u.
**SG**: No. 193

abc: 6.817 6.817 4.887
angles: 90.00 90.00 120.00
Element x y z (fractional)
Re (0.761, 0.000, 0.750)
Re (0.667, 0.333, 0.000)
Re (0.239, 0.239, 0.750)
Re (0.000, 0.761, 0.750)
Re (0.333, 0.667, 0.000)
Re (0.333, 0.667, 0.500)
Re (0.000, 0.239, 0.250)
Re (0.761, 0.761, 0.250)
Re (0.239, 0.000, 0.250)
Re (0.667, 0.333, 0.500)
Be (0.399, 0.399, 0.250)
Be (0.000, 0.399, 0.750)
Be (0.399, 0.000, 0.750)
Be (0.000, 0.601, 0.250)
Be (0.601, 0.601, 0.750)
Be (0.601, 0.000, 0.250)


*x*
The following is a DFT calculation (PBE) of an optimized crystal structure of Be3Re5.

**Density**: 16.138 Mg/m³
**D(E_F)**: 8.8 states/eV/cell
**V**: 98.6 Å³/f.u.
**SG**: No. 140

abc: 6.857 6.857 6.861
angles: 96.92 96.92 139.34
Element x y z (fractional)
Be (0.170, 0.670, 0.841)
Be (0.250, 0.250, 0.000)
Be (0.750, 0.750, 0.000)
Be (0.829, 0.330, 0.159)
Be (0.329, 0.170, 0.500)
Be (0.670, 0.830, 0.500)
Re (0.223, 0.927, 0.150)
Re (0.073, 0.223, 0.296)
Re (0.249, 0.750, 0.500)
Re (0.723, 0.574, 0.297)
Re (0.750, 0.250, 0.500)
Re (0.277, 0.426, 0.704)
Re (0.427, 0.723, 0.150)
Re (0.573, 0.277, 0.850)
Re (0.776, 0.073, 0.850)
Re (0.926, 0.777, 0.703)


*y*
The following is a DFT calculation (PBE) of an optimized crystal structure of Be3Re5.

**Density**: 15.651 Mg/m³
**D(E_F)**: 5.9 states/eV/cell
**V**: 101.6 Å³/f.u.
**SG**: No. 65

abc: 5.114 5.114 4.062
angles: 90.00 90.00 106.92
Element x y z (fractional)
Re (0.500, 0.000, 0.000)
Re (0.708, 0.708, 0.500)
Re (0.000, 0.000, 0.000)
Re (0.000, 0.500, 0.000)
Re (0.292, 0.292, 0.500)
Be (0.500, 0.500, 0.000)
Be (0.775, 0.225, 0.500)
Be (0.225, 0.775, 0.500)


Energies relative to the most stable structure are *w* 93; *x* 0; *y* 269, reported in meV/atom.


*w*
The following is a DFT calculation (PBE) of an optimized crystal structure of Be2Re3.

**Density**: 14.663 Mg/m³
**D(E_F)**: 3.6 states/eV/cell
**V**: 65.3 Å³/f.u.
**SG**: No. 166

abc: 10.167 10.167 10.167
angles: 15.49 15.49 15.49
Element x y z (fractional)
Be (0.398, 0.398, 0.398)
Be (0.602, 0.602, 0.602)
Re (0.000, 0.000, 0.000)
Re (0.202, 0.202, 0.202)
Re (0.798, 0.798, 0.798)


*x*
The following is a DFT calculation (PBE) of an optimized crystal structure of Be2Re3.

**Density**: 15.153 Mg/m³
**D(E_F)**: 7.4 states/eV/cell
**V**: 63.2 Å³/f.u.
**SG**: No. 70

abc: 7.619 6.726 4.877
angles: 80.37 60.50 39.13
Element x y z (fractional)
Re (0.900, 0.100, 0.100)
Re (0.288, 0.488, 0.712)
Re (0.762, 0.962, 0.738)
Re (0.512, 0.712, 0.488)
Re (0.538, 0.738, 0.962)
Re (0.150, 0.350, 0.350)
Be (0.704, 0.904, 0.296)
Be (0.096, 0.296, 0.904)
Be (0.346, 0.546, 0.154)
Be (0.954, 0.154, 0.546)


Energies relative to the most stable structure are *w* 7; *x* 0, reported in meV/atom.


*w*
The following is a DFT calculation (PBE) of an optimized crystal structure of Be6Re.

**Density**: 6.568 Mg/m³
**D(E_F)**: 8.0 states/eV/cell
**V**: 60.7 Å³/f.u.
**SG**: No. 62

abc: 4.259 6.784 8.410
angles: 90.00 90.00 90.00
Element x y z (fractional)
Be (0.991, 0.061, 0.689)
Be (0.491, 0.439, 0.189)
Be (0.750, 0.855, 0.856)
Be (0.750, 0.698, 0.252)
Be (0.509, 0.061, 0.689)
Be (0.250, 0.302, 0.748)
Be (0.991, 0.561, 0.811)
Be (0.250, 0.400, 0.978)
Be (0.250, 0.556, 0.591)
Be (0.250, 0.056, 0.909)
Be (0.750, 0.355, 0.644)
Be (0.250, 0.802, 0.752)
Be (0.491, 0.939, 0.311)
Be (0.750, 0.100, 0.478)
Be (0.250, 0.645, 0.356)
Be (0.750, 0.600, 0.022)
Be (0.750, 0.198, 0.248)
Be (0.009, 0.939, 0.311)
Be (0.750, 0.444, 0.409)
Be (0.750, 0.944, 0.091)
Be (0.250, 0.900, 0.522)
Be (0.250, 0.145, 0.144)
Be (0.009, 0.439, 0.189)
Be (0.509, 0.561, 0.811)
Re (0.250, 0.250, 0.428)
Re (0.750, 0.750, 0.572)
Re (0.750, 0.250, 0.928)
Re (0.250, 0.750, 0.072)


*x*
The following is a DFT calculation (PBE) of an optimized crystal structure of Be6Re.

**Density**: 5.572 Mg/m³
**D(E_F)**: 2.5 states/eV/cell
**V**: 71.6 Å³/f.u.
**SG**: No. 229

abc: 4.531 4.531 4.531
angles: 109.47 109.47 109.47
Element x y z (fractional)
Be (0.750, 0.250, 0.500)
Be (0.750, 0.500, 0.250)
Be (0.500, 0.250, 0.750)
Be (0.250, 0.500, 0.750)
Be (0.250, 0.750, 0.500)
Be (0.500, 0.750, 0.250)
Re (0.000, 0.000, 0.000)


Energies relative to the most stable structure are *w* 0; *x* 1405, reported in meV/atom.


*w*
The following is a DFT calculation (PBE) of an optimized crystal structure of BeRe3Rh.

**Density**: 15.982 Mg/m³
**D(E_F)**: 3.7 states/eV/cell
**V**: 69.7 Å³/f.u.
**SG**: No. 221

abc: 4.115 4.115 4.115
angles: 90.00 90.00 90.00
Element x y z (fractional)
Re (0.500, 0.000, 0.000)
Re (0.000, 0.500, 0.000)
Re (0.000, 0.000, 0.500)
Rh (0.500, 0.500, 0.500)
Be (0.000, 0.000, 0.000)


*x*
The following is a DFT calculation (PBE) of an optimized crystal structure of BeRe3Rh.

**Density**: 11.091 Mg/m³
**D(E_F)**: 7.8 states/eV/cell
**V**: 100.4 Å³/f.u.
**SG**: No. 221

abc: 4.648 4.648 4.648
angles: 90.00 90.00 90.00
Element x y z (fractional)
Re (0.500, 0.000, 0.000)
Re (0.000, 0.000, 0.500)
Re (0.000, 0.500, 0.000)
Be (0.500, 0.500, 0.500)
Rh (0.000, 0.000, 0.000)


Energies relative to the most stable structure are *w* 0; *x* 1955, reported in meV/atom.


*w*
The following is a DFT calculation (PBE) of an optimized crystal structure of BeReRh3.

**Density**: 12.223 Mg/m³
**D(E_F)**: 4.9 states/eV/cell
**V**: 68.5 Å³/f.u.
**SG**: No. 221

abc: 4.091 4.091 4.091
angles: 90.00 90.00 90.00
Last column: magnetic moment on the atom in μB.
Element x y z (fractional)
Rh (0.000, 0.500, 0.000)  0.17
Rh (0.500, 0.000, 0.000)  0.12
Rh (0.000, 0.000, 0.500)  0.21
Re (0.500, 0.500, 0.500)  1.52
Be (0.000, 0.000, 0.000)  -0.01


*x*
The following is a DFT calculation (PBE) of an optimized crystal structure of BeReRh3.

**Density**: 8.182 Mg/m³
**D(E_F)**: 4.4 states/eV/cell
**V**: 102.3 Å³/f.u.
**SG**: No. 221

abc: 4.677 4.677 4.677
angles: 90.00 90.00 90.00
Element x y z (fractional)
Rh (0.000, 0.000, 0.500)
Rh (0.000, 0.500, 0.000)
Rh (0.500, 0.000, 0.000)
Be (0.500, 0.500, 0.500)
Re (0.000, 0.000, 0.000)


Energies relative to the most stable structure are *w* 0; *x* 1103, reported in meV/atom.